# 1
AcTb2SmDy4 | GGA-PBE | optimized geometry

Structure (POSCAR):
```
AcTb2SmDy4
1.0
5.1375 -0.0001 0.0000
0.0000 4.9668 1.1925
0.0000 2.5979 11.0792
Dy Tb Sm Ac
4 2 1 1
direct
0.0000 0.7567 0.7432 Dy
0.5000 0.7424 0.2575 Dy
0.5000 0.2576 0.7425 Dy
0.0000 0.2433 0.2568 Dy
0.0000 0.0000 0.0000 Tb
0.5000 0.0000 0.5000 Tb
0.0000 0.5000 0.5000 Sm
0.5000 0.5000 0.0000 Ac
```

Calculated values
Crystal system: orthorhombic
E_form (kJ/mol of formula units): 30
DOS at the Fermi energy (states/eV/f.u.): 11.40
Space group: Pmmm, No. 47
E_tot (eV/atom): -4.524

# 2
AcTbSm2Dy | GGA-PBE | optimized geometry

Structure (POSCAR):
```
AcTbSm2Dy
1.0
5.8783 0.0000 0.0000
0.0000 6.3486 1.0656
0.0000 1.6111 9.7278
Dy Ac Sm Tb
2 2 4 2
direct
0.7500 0.3633 0.5975 Dy
0.2500 0.6367 0.4025 Dy
0.7500 0.5698 0.2003 Ac
0.2500 0.4302 0.7997 Ac
0.2500 0.0373 0.5947 Sm
0.7500 0.9627 0.4053 Sm
0.7500 0.7734 0.7969 Sm
0.2500 0.2266 0.2031 Sm
0.7500 0.1609 0.0004 Tb
0.2500 0.8391 0.9996 Tb
```

Calculated values
Crystal system: monoclinic
E_form (kJ/mol of formula units): 21
DOS at the Fermi energy (states/eV/f.u.): 8.69
Space group: P2_1/m, No. 11
E_tot (eV/atom): -4.512

# 3
AcTb2SmDy | GGA-PBE | optimized geometry

Structure (POSCAR):
```
AcTb2SmDy
1.0
-1.3731 -7.1897 0.1203
0.7729 -0.0061 8.4547
-6.2462 1.1311 -3.6909
Tb Dy Sm Ac
4 2 2 2
direct
0.5000 0.6901 0.0000 Tb
0.0000 0.3099 0.0000 Tb
0.0000 0.6901 0.0000 Tb
0.5000 0.3099 0.0000 Tb
0.7500 0.7000 0.4000 Dy
0.2500 0.3000 0.6000 Dy
0.2500 0.0352 0.0704 Sm
0.7500 0.9648 0.9296 Sm
0.7500 0.2522 0.5044 Ac
0.2500 0.7478 0.4956 Ac
```

Calculated values
Crystal system: orthorhombic
E_form (kJ/mol of formula units): 169
DOS at the Fermi energy (states/eV/f.u.): 6.83
Space group: Cmcm, No. 63
E_tot (eV/atom): -4.188

# 4
AcTb2SmDy5 | GGA-PBE | optimized geometry

Structure (POSCAR):
```
AcTb2SmDy5
1.0
8.9228 0.0000 0.0000
0.0000 8.9228 0.0000
-4.4614 -4.4614 7.6414
Ac Dy Tb Sm
2 10 4 2
direct
0.7500 0.7500 0.5000 Ac
0.2500 0.2500 0.5000 Ac
0.1693 0.0745 0.7438 Dy
0.9255 0.4255 0.2562 Dy
0.5745 0.6693 0.7438 Dy
0.3307 0.8307 0.2562 Dy
0.4255 0.3307 0.2562 Dy
0.6693 0.1693 0.7438 Dy
0.8307 0.9255 0.2562 Dy
0.0000 0.0000 0.0000 Dy
0.5000 0.5000 0.0000 Dy
0.0745 0.5745 0.7438 Dy
0.8853 0.6147 0.0000 Tb
0.6147 0.1147 0.0000 Tb
0.3853 0.8853 0.0000 Tb
0.1147 0.3853 0.0000 Tb
0.2500 0.7500 0.5000 Sm
0.7500 0.2500 0.5000 Sm
```

Calculated values
Crystal system: tetragonal
E_form (kJ/mol of formula units): 233
DOS at the Fermi energy (states/eV/f.u.): 11.04
Space group: I4/mcm, No. 140
E_tot (eV/atom): -4.298

# 5
AcTb2Sm3Dy6 | GGA-PBE | optimized geometry

Structure (POSCAR):
```
AcTb2Sm3Dy6
1.0
-0.3621 -1.2640 6.1030
-3.0284 -3.5900 -4.1129
10.5390 -5.3315 -1.5368
Tb Dy Sm Ac
2 6 3 1
direct
0.3333 0.6667 0.0000 Tb
0.6667 0.3333 0.0000 Tb
0.7485 0.7485 0.2526 Dy
0.0849 0.4209 0.2524 Dy
0.2515 0.2515 0.7474 Dy
0.9151 0.5791 0.7476 Dy
0.4209 0.0849 0.2524 Dy
0.5791 0.9151 0.7476 Dy
0.8329 0.1671 0.5000 Sm
0.5000 0.5000 0.5000 Sm
0.1671 0.8329 0.5000 Sm
0.0000 0.0000 0.0000 Ac
```

Calculated values
Crystal system: monoclinic
E_form (kJ/mol of formula units): 30
DOS at the Fermi energy (states/eV/f.u.): 14.58
Space group: C2/m, No. 12
E_tot (eV/atom): -4.569

# 6
AcTb5Sm2Dy | GGA-PBE | optimized geometry

Structure (POSCAR):
```
AcTb5Sm2Dy
1.0
-3.5974 2.5007 -7.7446
6.3860 -4.3814 -4.3811
-5.7864 -5.4408 6.0425
Sm Tb Dy Ac
4 10 2 2
direct
0.6158 0.1158 0.0000 Sm
0.1158 0.3842 0.0000 Sm
0.3842 0.8842 0.0000 Sm
0.8842 0.6158 0.0000 Sm
0.9262 0.4262 0.2629 Tb
0.4262 0.3367 0.2629 Tb
0.0000 0.0000 0.0000 Tb
0.0738 0.5738 0.7371 Tb
0.6633 0.1633 0.7371 Tb
0.3367 0.8367 0.2629 Tb
0.5000 0.5000 0.0000 Tb
0.5738 0.6633 0.7371 Tb
0.1633 0.0738 0.7371 Tb
0.8367 0.9262 0.2629 Tb
0.7500 0.2500 0.5000 Dy
0.2500 0.7500 0.5000 Dy
0.7500 0.7500 0.5000 Ac
0.2500 0.2500 0.5000 Ac
```

Calculated values
Crystal system: tetragonal
E_form (kJ/mol of formula units): 228
DOS at the Fermi energy (states/eV/f.u.): 9.63
Space group: I4/mcm, No. 140
E_tot (eV/atom): -4.326

# 7
AcTbSmDy3 | GGA-PBE | optimized geometry

Structure (POSCAR):
```
AcTbSmDy3
1.0
5.4495 0.0000 0.0000
-2.7247 11.2436 2.6586
0.0000 -0.5914 6.9535
Dy Tb Ac Sm
6 2 2 2
direct
0.2252 0.4503 0.1882 Dy
0.8194 0.6387 0.2813 Dy
0.4781 0.9563 0.2819 Dy
0.5219 0.0437 0.7181 Dy
0.1806 0.3613 0.7187 Dy
0.7748 0.5497 0.8118 Dy
0.6685 0.3370 0.4789 Tb
0.3315 0.6630 0.5211 Tb
0.6275 0.2549 0.0189 Ac
0.3725 0.7451 0.9811 Ac
0.0752 0.1503 0.3827 Sm
0.9248 0.8497 0.6173 Sm
```

Calculated values
Crystal system: monoclinic
E_form (kJ/mol of formula units): 128
DOS at the Fermi energy (states/eV/f.u.): 9.62
Space group: C2/m, No. 12
E_tot (eV/atom): -4.323

# 8
AcTb6Sm3Dy2 | GGA-PBE | optimized geometry

Structure (POSCAR):
```
AcTb6Sm3Dy2
1.0
6.2515 0.0004 0.0151
-3.1239 5.4150 0.0151
-1.0683 -1.8497 11.7662
Tb Ac Dy Sm
6 1 2 3
direct
0.2520 0.2520 0.7476 Tb
0.4207 0.0844 0.2522 Tb
0.9156 0.5793 0.7478 Tb
0.7480 0.7480 0.2524 Tb
0.5793 0.9156 0.7478 Tb
0.0844 0.4207 0.2522 Tb
0.0000 0.0000 0.0000 Ac
0.3333 0.6667 0.0000 Dy
0.6667 0.3333 0.0000 Dy
0.8330 0.1670 0.5000 Sm
0.1670 0.8330 0.5000 Sm
0.5000 0.5000 0.5000 Sm
```

Calculated values
Crystal system: monoclinic
E_form (kJ/mol of formula units): 30
DOS at the Fermi energy (states/eV/f.u.): 14.95
Space group: C2/m, No. 12
E_tot (eV/atom): -4.579

# 9
AcTb6Sm2Dy | GGA-PBE | optimized geometry

Structure (POSCAR):
```
AcTb6Sm2Dy
1.0
9.1876 -2.0142 -2.0903
0.9444 8.6745 -2.0960
0.9444 -2.4160 8.5908
Tb Sm Dy Ac
12 4 2 2
direct
0.4425 0.2533 0.8684 Tb
0.0575 0.1316 0.7467 Tb
0.8830 0.2888 0.5047 Tb
0.3830 0.5047 0.2888 Tb
0.3156 0.9816 0.4385 Tb
0.6170 0.4953 0.7112 Tb
0.5575 0.7467 0.1316 Tb
0.1170 0.7112 0.4953 Tb
0.9425 0.8684 0.2533 Tb
0.6844 0.0184 0.5615 Tb
0.8156 0.4385 0.9816 Tb
0.1844 0.5615 0.0184 Tb
0.9531 0.6852 0.8011 Sm
0.0469 0.3148 0.1989 Sm
0.5469 0.1989 0.3148 Sm
0.4531 0.8011 0.6852 Sm
0.2500 0.4108 0.5892 Dy
0.7500 0.5892 0.4108 Dy
0.2500 0.9742 0.0258 Ac
0.7500 0.0258 0.9742 Ac
```

Calculated values
Crystal system: monoclinic
E_form (kJ/mol of formula units): 122
DOS at the Fermi energy (states/eV/f.u.): 14.76
Space group: C2/c, No. 15
E_tot (eV/atom): -4.466

# 10
AcTb4Sm2Dy | GGA-PBE | optimized geometry

Structure (POSCAR):
```
AcTb4Sm2Dy
1.0
5.1458 0.0000 0.0000
0.0000 4.9685 1.2623
0.0000 2.4516 11.1827
Sm Dy Tb Ac
2 1 4 1
direct
0.0000 0.0000 0.0000 Sm
0.5000 0.0000 0.5000 Sm
0.0000 0.5000 0.5000 Dy
0.5000 0.7421 0.2578 Tb
0.5000 0.2579 0.7422 Tb
0.0000 0.2422 0.2580 Tb
0.0000 0.7578 0.7420 Tb
0.5000 0.5000 0.0000 Ac
```

Calculated values
Crystal system: orthorhombic
E_form (kJ/mol of formula units): 26
DOS at the Fermi energy (states/eV/f.u.): 11.10
Space group: Pmmm, No. 47
E_tot (eV/atom): -4.550

# 11
AcTbSm3Dy | GGA-PBE | optimized geometry

Structure (POSCAR):
```
AcTbSm3Dy
1.0
-1.8622 2.7135 -3.9843
-4.5493 -6.7937 0.8507
-6.3466 5.0523 6.4072
Tb Sm Ac Dy
2 6 2 2
direct
0.8317 0.6634 0.7500 Tb
0.1683 0.3366 0.2500 Tb
0.1691 0.3382 0.7500 Sm
0.3298 0.6595 0.5004 Sm
0.6702 0.3405 0.4996 Sm
0.3298 0.6595 0.9996 Sm
0.6702 0.3405 0.0004 Sm
0.8309 0.6618 0.2500 Sm
0.0000 0.0000 0.0000 Ac
0.0000 0.0000 0.5000 Ac
0.5006 0.0011 0.2500 Dy
0.4994 0.9989 0.7500 Dy
```

Calculated values
Crystal system: orthorhombic
E_form (kJ/mol of formula units): 22
DOS at the Fermi energy (states/eV/f.u.): 9.18
Space group: Cmcm, No. 63
E_tot (eV/atom): -4.545

# 12
Ac2SmDyTe5 | GGA-PBE | optimized geometry

Structure (POSCAR):
```
Ac2SmDyTe5
1.0
-2.1305 2.4788 4.5761
-4.7199 1.1630 -2.8274
-4.5508 -10.1944 3.4036
Ac Te Dy Sm
2 5 1 1
direct
0.5000 0.5000 0.6967 Ac
0.5000 0.5000 0.3033 Ac
0.0000 0.0000 0.2426 Te
0.0000 0.5000 0.5000 Te
0.5000 0.0000 0.5000 Te
0.5000 0.5000 0.0000 Te
0.0000 0.0000 0.7574 Te
0.0000 0.0000 0.0000 Dy
0.0000 0.0000 0.5000 Sm
```

Calculated values
Crystal system: tetragonal
ΔE_f (raw) (eV/atom): -0.934
DOS at the Fermi energy (states/eV/f.u.): 6.63
Space group: P4/mmm, No. 123
E_tot (eV/atom): -4.628